Entry 1:
## Pu3Ta5H12 (PBE-GGA)

Data for a relaxed Pu3Ta5H12 crystal.

Properties
Symmetry: Ia-3d (230)
Electronic total energy in eV per cell: -579.26

Cell lengths 10.2485, 10.2485, 10.2485 Å; angles 109.47, 109.47, 109.47 degrees
Last column: nearest neighbours and their distance in Å.
Fractional coordinates of all 80 atoms:
Pu 0.1250 0.2500 0.3750  8 H 2.20-2.22
Pu 0.1250 0.3750 0.7500  8 H 2.20-2.22
Pu 0.2500 0.3750 0.1250  8 H 2.20-2.22
Pu 0.2500 0.8750 0.6250  8 H 2.20-2.22
Pu 0.3750 0.1250 0.2500  8 H 2.20-2.22
Pu 0.3750 0.7500 0.1250  8 H 2.20-2.22
Pu 0.6250 0.2500 0.8750  8 H 2.20-2.22
Pu 0.6250 0.8750 0.7500  8 H 2.20-2.22
Pu 0.7500 0.1250 0.3750  8 H 2.20-2.22
Pu 0.7500 0.6250 0.8750  8 H 2.20-2.22
Pu 0.8750 0.6250 0.2500  8 H 2.20-2.22
Pu 0.8750 0.7500 0.6250  8 H 2.20-2.22
Ta 0.0000 0.0000 0.0000  6 H 1.93
Ta 0.0000 0.0000 0.5000  6 H 1.93
Ta 0.0000 0.5000 0.0000  6 H 1.93
Ta 0.0000 0.5000 0.5000  6 H 1.93
Ta 0.1250 0.7500 0.8750  4 H 1.92
Ta 0.1250 0.8750 0.2500  4 H 1.92
Ta 0.2500 0.1250 0.8750  4 H 1.92
Ta 0.2500 0.6250 0.3750  4 H 1.92
Ta 0.3750 0.2500 0.6250  4 H 1.92
Ta 0.3750 0.6250 0.7500  4 H 1.92
Ta 0.5000 0.0000 0.0000  6 H 1.93
Ta 0.5000 0.0000 0.5000  6 H 1.93
Ta 0.5000 0.5000 0.0000  6 H 1.93
Ta 0.5000 0.5000 0.5000  6 H 1.93
Ta 0.6250 0.3750 0.2500  4 H 1.92
Ta 0.6250 0.7500 0.3750  4 H 1.92
Ta 0.7500 0.3750 0.6250  4 H 1.92
Ta 0.7500 0.8750 0.1250  4 H 1.92
Ta 0.8750 0.1250 0.7500  4 H 1.92
Ta 0.8750 0.2500 0.1250  4 H 1.92
H 0.0487 0.2137 0.1305  2 Ta 1.92-1.93
H 0.0487 0.3350 0.9183  2 Ta 1.92-1.93
H 0.0817 0.6305 0.4168  2 Ta 1.92-1.93
H 0.0817 0.9513 0.6650  2 Ta 1.92-1.93
H 0.0832 0.7137 0.6650  2 Ta 1.92-1.93
H 0.0832 0.8695 0.4183  2 Ta 1.92-1.93
H 0.1305 0.0487 0.2137  2 Ta 1.92-1.93
H 0.1305 0.5817 0.9168  2 Ta 1.92-1.93
H 0.1650 0.2137 0.5832  2 Ta 1.92-1.93
H 0.1650 0.4513 0.5817  2 Ta 1.92-1.93
H 0.2137 0.1305 0.0487  2 Ta 1.92-1.93
H 0.2137 0.5832 0.1650  2 Ta 1.92-1.93
H 0.2863 0.3350 0.9168  2 Ta 1.92-1.93
H 0.2863 0.4513 0.3695  2 Ta 1.92-1.93
H 0.3350 0.9168 0.2863  2 Ta 1.92-1.93
H 0.3350 0.9183 0.0487  2 Ta 1.92-1.93
H 0.3695 0.2863 0.4513  2 Ta 1.92-1.93
H 0.3695 0.5832 0.9183  2 Ta 1.92-1.93
H 0.4168 0.0817 0.6305  2 Ta 1.92-1.93
H 0.4168 0.8350 0.7863  2 Ta 1.92-1.93
H 0.4183 0.0832 0.8695  2 Ta 1.92-1.93
H 0.4183 0.8350 0.5487  2 Ta 1.92-1.93
H 0.4513 0.3695 0.2863  2 Ta 1.92-1.93
H 0.4513 0.5817 0.1650  2 Ta 1.92-1.93
H 0.5487 0.4183 0.8350  2 Ta 1.92-1.93
H 0.5487 0.6305 0.7137  2 Ta 1.92-1.93
H 0.5817 0.1650 0.4513  2 Ta 1.92-1.93
H 0.5817 0.9168 0.1305  2 Ta 1.92-1.93
H 0.5832 0.1650 0.2137  2 Ta 1.92-1.93
H 0.5832 0.9183 0.3695  2 Ta 1.92-1.93
H 0.6305 0.4168 0.0817  2 Ta 1.92-1.93
H 0.6305 0.7137 0.5487  2 Ta 1.92-1.93
H 0.6650 0.0817 0.9513  2 Ta 1.92-1.93
H 0.6650 0.0832 0.7137  2 Ta 1.92-1.93
H 0.7137 0.5487 0.6305  2 Ta 1.92-1.93
H 0.7137 0.6650 0.0832  2 Ta 1.92-1.93
H 0.7863 0.4168 0.8350  2 Ta 1.92-1.93
H 0.7863 0.8695 0.9513  2 Ta 1.92-1.93
H 0.8350 0.5487 0.4183  2 Ta 1.92-1.93
H 0.8350 0.7863 0.4168  2 Ta 1.92-1.93
H 0.8695 0.4183 0.0832  2 Ta 1.92-1.93
H 0.8695 0.9513 0.7863  2 Ta 1.92-1.93
H 0.9168 0.1305 0.5817  2 Ta 1.92-1.93
H 0.9168 0.2863 0.3350  2 Ta 1.92-1.93
H 0.9183 0.0487 0.3350  2 Ta 1.92-1.93
H 0.9183 0.3695 0.5832  2 Ta 1.92-1.93
H 0.9513 0.6650 0.0817  2 Ta 1.92-1.93
H 0.9513 0.7863 0.8695  2 Ta 1.92-1.93

***

Entry 2:
## TaMn2As (PBE-GGA)

Data for a relaxed TaMn2As crystal.

Properties
E_form in kJ/mol of formula units: 108
Symmetry: R3m (160)
Electronic total energy in eV per cell: -33.73

Cell lengths 8.3788, 8.3788, 8.3788 Å; angles 19.64, 19.64, 19.64 degrees
Last column: nearest neighbours and their distance in Å.
Fractional coordinates of all 4 atoms:
Ta 0.0000 0.0000 0.0000  3 Mn 2.80, 3 As 2.84, 6 Ta 2.86
Mn 0.4983 0.4983 0.4983  3 Mn 2.45, 3 As 2.47
Mn 0.7583 0.7583 0.7583  3 Mn 2.45
As 0.2396 0.2396 0.2396  3 Mn 2.47

***

Entry 3:
## Cs2H6Ir (PBE-GGA)

Data for a relaxed Cs2H6Ir crystal.

Properties
Symmetry: P4_2/mnm (136)
Electronic total energy in eV per cell: -62.61

Cell lengths 5.4976, 5.4976, 11.8127 Å; angles 90.00, 90.00, 90.00 degrees
Last column: nearest neighbours and their distance in Å.
Fractional coordinates of all 18 atoms:
Cs 0.0000 0.0000 0.1617  6 H 2.84-2.96
Cs 0.0000 0.0000 0.8383  6 H 2.84-2.96
Cs 0.5000 0.5000 0.3383  6 H 2.84-2.96
Cs 0.5000 0.5000 0.6617  6 H 2.84-2.96
H 0.1443 0.1443 0.3938  1 Ir 1.68
H 0.1443 0.1443 0.6062  1 Ir 1.68
H 0.2171 0.7829 0.5000  1 Ir 1.69
H 0.2829 0.2829 0.0000  1 Ir 1.69
H 0.3557 0.6443 0.1062  1 Ir 1.68
H 0.3557 0.6443 0.8938  1 Ir 1.68
H 0.6443 0.3557 0.1062  1 Ir 1.68
H 0.6443 0.3557 0.8938  1 Ir 1.68
H 0.7171 0.7171 0.0000  1 Ir 1.69
H 0.7829 0.2171 0.5000  1 Ir 1.69
H 0.8557 0.8557 0.3938  1 Ir 1.68
H 0.8557 0.8557 0.6062  1 Ir 1.68
Ir 0.0000 0.0000 0.5000  6 H 1.68-1.69
Ir 0.5000 0.5000 0.0000  6 H 1.68-1.69

***

Entry 4:
## BTeIO2 (PBE-GGA)

Data for a relaxed BTeIO2 crystal.

Properties
ΔE_f (raw) in kJ per mole of atoms: 76.3
Relative energy among the computed polymorphs in meV per atom: 315.2
Symmetry: P4/mmm (123)
Electronic total energy in eV per cell: -17.33

Cell lengths 4.0579, 4.0579, 4.5216 Å; angles 90.00, 90.00, 90.00 degrees
Last column: nearest neighbours and their distance in Å.
Fractional coordinates of all 5 atoms:
B 0.0000 0.0000 0.0000  4 O 2.03, 2 I 2.26
Te 0.5000 0.5000 0.5000  4 I 2.87, 8 O 3.04
I 0.0000 0.0000 0.5000  2 B 2.26
O 0.0000 0.5000 0.0000  2 B 2.03
O 0.5000 0.0000 0.0000  2 B 2.03